[1]
# SrSc2Br

A geometry-optimized SrSc2Br structure (GGA-PBE, Alexandria via LeMat-Bulk).

The structure belongs to space group P2/m (No. 10); the cell edges are 3.5696, 6.4285 and 5.2767 Å and the angles 90.00°, 90.52° and 90.00°. The asymmetric unit holds Sr at (0.0000, 0.0000, 0.0000), Sc at (0.2807, 0.5000, 0.7621) and Br at (0.5000, 0.0000, 0.5000).

The energy above the most stable polymorph in this dataset comes out at 230 meV per atom.


[2]
# SrScTlBr6

A geometry-optimized SrScTlBr6 structure (GGA-PBE, Alexandria via LeMat-Bulk).

The structure belongs to space group P-31c (No. 163); the cell edges are 7.5430, 7.5430 and 13.9027 Å and the angles 90.00°, 90.00° and 120.00°. The asymmetric unit holds Sr at (0.3333, 0.6667, 0.2500), Sc at (0.3333, 0.6667, 0.7500), Tl at (0.0000, 0.0000, 0.0000) and Br at (0.0383, 0.3864, 0.6369).


[3]
# SrScZnBr2

A geometry-optimized SrScZnBr2 structure (GGA-PBE, Alexandria via LeMat-Bulk).

The structure belongs to space group P4/mmm (No. 123); the cell edges are 5.4904, 5.4904 and 5.9519 Å and the angles 90.00°, 90.00° and 90.00°. The asymmetric unit holds Sr at (0.0000, 0.0000, 0.0000), Sc at (0.5000, 0.5000, 0.0000), Zn at (0.0000, 0.0000, 0.5000) and Br at (0.0000, 0.5000, 0.5000).


[4]
# ScTa2Br

A geometry-optimized ScTa2Br structure (GGA-PBE, Alexandria via LeMat-Bulk).

The structure belongs to space group Cm (No. 8); the cell edges are 9.7952, 3.0753 and 5.6697 Å and the angles 90.00°, 110.06° and 90.00°. The asymmetric unit holds Sc at (0.0000, 0.0000, 0.0000), Ta at (0.0701, 0.5000, 0.5242), Ta at (0.3163, 0.5000, 0.3661) and Br at (0.2565, 0.0000, 0.9275).

The energy above the most stable polymorph in this dataset comes out at 361 meV per atom.


[5]
# ScTaBr2

A geometry-optimized ScTaBr2 structure (GGA-PBE, Alexandria via LeMat-Bulk).

The structure belongs to space group Cm (No. 8); the cell edges are 9.6665, 3.2585 and 7.7422 Å and the angles 90.00°, 113.88° and 90.00°. The asymmetric unit holds Sc at (0.0000, 0.0000, 0.0000), Ta at (0.2726, 0.5000, 0.1764), Br at (0.2368, 0.0000, 0.8688) and Br at (0.3754, 0.0000, 0.4648).

The energy above the most stable polymorph in this dataset comes out at 551 meV per atom.


[6]
# ScTaBr2

A geometry-optimized ScTaBr2 structure (GGA-PBE, Alexandria via LeMat-Bulk).

The structure belongs to space group R-3m (No. 166, hexagonal axes); the cell edges are 3.2435, 3.2435 and 27.5319 Å and the angles 90.00°, 90.00° and 120.00°. The asymmetric unit holds Sc at (0.0000, 0.0000, 0.0000), Ta at (0.0000, 0.0000, 0.5000) and Br at (0.0000, 0.0000, 0.2419).

The energy above the most stable polymorph in this dataset comes out at 765 meV per atom.


[7]
# ScTa2Br

A geometry-optimized ScTa2Br structure (GGA-PBE, Alexandria via LeMat-Bulk).

The structure belongs to space group P4/mmm (No. 123); the cell edges are 5.0272, 5.0272 and 3.0875 Å and the angles 90.00°, 90.00° and 90.00°. The asymmetric unit holds Sc at (0.0000, 0.0000, 0.0000), Ta at (0.0000, 0.5000, 0.5000) and Br at (0.5000, 0.5000, 0.0000).

The energy above the most stable polymorph in this dataset comes out at 863 meV per atom.


[8]
# ScTaBr2

A geometry-optimized ScTaBr2 structure (GGA-PBE, Alexandria via LeMat-Bulk).

The structure belongs to space group P4/mmm (No. 123); the cell edges are 4.7600, 4.7600 and 3.3755 Å and the angles 90.00°, 90.00° and 90.00°. The asymmetric unit holds Sc at (0.0000, 0.0000, 0.0000), Ta at (0.5000, 0.5000, 0.0000) and Br at (0.0000, 0.5000, 0.5000).

The energy above the most stable polymorph in this dataset comes out at 945 meV per atom.


[9]
# ScTa2Br

A geometry-optimized ScTa2Br structure (GGA-PBE, Alexandria via LeMat-Bulk).

The structure belongs to space group P4/mmm (No. 123); the cell edges are 3.8934, 3.8934 and 5.2347 Å and the angles 90.00°, 90.00° and 90.00°. The asymmetric unit holds Sc at (0.0000, 0.0000, 0.0000), Ta at (0.0000, 0.5000, 0.5000) and Br at (0.5000, 0.5000, 0.0000).

The energy above the most stable polymorph in this dataset comes out at 495 meV per atom.


[10]
# ScTa2Br

A geometry-optimized ScTa2Br structure (GGA-PBE, Alexandria via LeMat-Bulk).

The structure belongs to space group Cmmm (No. 65); the cell edges are 3.4556, 4.9110 and 9.4211 Å and the angles 90.00°, 90.00° and 90.00°. The asymmetric unit holds Sc at (0.0000, 0.0000, 0.0000), Ta at (0.0000, 0.5000, 0.2613) and Br at (0.0000, 0.0000, 0.5000).

The energy above the most stable polymorph in this dataset comes out at 536 meV per atom.


[11]
# ScTa2Br

A geometry-optimized ScTa2Br structure (GGA-PBE, Alexandria via LeMat-Bulk).

The structure belongs to space group P2/m (No. 10); the cell edges are 3.2022, 5.3919 and 4.7188 Å and the angles 90.00°, 90.52° and 90.00°. The asymmetric unit holds Sc at (0.0000, 0.0000, 0.0000), Ta at (0.2699, 0.5000, 0.7748) and Br at (0.5000, 0.0000, 0.5000).

The energy above the most stable polymorph in this dataset comes out at 366 meV per atom.


[12]
# ScTa2Br

A geometry-optimized ScTa2Br structure (GGA-PBE, Alexandria via LeMat-Bulk).

The structure belongs to space group Pmmm (No. 47); the cell edges are 3.2268, 4.6181 and 5.3111 Å and the angles 90.00°, 90.00° and 90.00°. The asymmetric unit holds Sc at (0.0000, 0.0000, 0.0000), Ta at (0.0000, 0.5000, 0.5000), Ta at (0.5000, 0.0000, 0.5000) and Br at (0.5000, 0.5000, 0.0000).

The energy above the most stable polymorph in this dataset comes out at 405 meV per atom.


[13]
# ScTaBr2

A geometry-optimized ScTaBr2 structure (GGA-PBE, Alexandria via LeMat-Bulk).

The structure belongs to space group Fm-3m (No. 225); the cell edges are 6.7544, 6.7544 and 6.7544 Å and the angles 90.00°, 90.00° and 90.00°. The asymmetric unit holds Sc at (0.0000, 0.0000, 0.0000), Ta at (0.0000, 0.0000, 0.5000) and Br at (0.2500, 0.2500, 0.2500).

The energy above the most stable polymorph in this dataset comes out at 1013 meV per atom.


[14]
# ScTaBr3

A geometry-optimized ScTaBr3 structure (GGA-PBE, Alexandria via LeMat-Bulk).

The structure belongs to space group Pm-3m (No. 221); the cell edges are 5.2976, 5.2976 and 5.2976 Å and the angles 90.00°, 90.00° and 90.00°. The asymmetric unit holds Sc at (0.0000, 0.0000, 0.0000), Ta at (0.5000, 0.5000, 0.5000) and Br at (0.0000, 0.0000, 0.5000).

The energy above the most stable polymorph in this dataset comes out at 0 meV per atom.


[15]
# ScTa2Br

A geometry-optimized ScTa2Br structure (GGA-PBE, Alexandria via LeMat-Bulk).

The structure belongs to space group Cmm2 (No. 35); the cell edges are 3.5263, 5.1885 and 8.9545 Å and the angles 90.00°, 90.00° and 90.00°. The asymmetric unit holds Sc at (0.0000, 0.0000, 0.0000), Ta at (0.0000, 0.0000, 0.4805), Ta at (0.0000, 0.5000, 0.2564) and Br at (0.0000, 0.5000, 0.7653).

The energy above the most stable polymorph in this dataset comes out at 112 meV per atom.


| no. | formation energy from raw total energies (eV/atom) |
| --- | --- |
| 1 | -0.208 |
| 2 | -1.663 |
| 3 | 0.088 |
| 4 | 0.290 |
| 5 | -0.181 |
| 6 | 0.033 |
| 7 | 0.791 |
| 8 | 0.213 |
| 9 | 0.423 |
| 10 | 0.464 |
| 11 | 0.294 |
| 12 | 0.333 |
| 13 | 0.281 |
| 14 | 0.227 |
| 15 | 0.040 |